Tb6Y8Al: relaxed, PBE.

Properties
- energy relative to the elements (kJ/mol of formula units) = 107
- calculated volume (Å³/f.u.) = 487
- magnetic moment (Bohr magnetons per cell) = 0.00
- Fermi-level density of states (states/eV/f.u.) = 28.2

Cell and atoms, written as POSCAR:
```
Tb6Y8Al
1.0
5.693 0.000 0.000
0.000 8.606 -4.969
0.000 0.000 9.937
Tb Y Al
6 8 1
direct
0.740 0.617 0.093
0.740 0.907 0.524
0.740 0.476 0.383
0.260 0.383 0.907
0.260 0.093 0.476
0.260 0.524 0.617
0.763 0.051 0.266
0.763 0.734 0.785
0.763 0.215 0.949
0.237 0.949 0.734
0.237 0.266 0.215
0.237 0.785 0.051
0.761 0.333 0.667
0.239 0.667 0.333
0.500 0.000 0.000
```